--- w ---
! Pr5SmTm3 | Alexandria | GGA-PBE | relaxed; values from VASP
&SYSTEM
  ibrav = 0, nat = 18, ntyp = 3
/
ATOMIC_SPECIES
Pr 140.91 Pr.upf
Sm 150.36 Sm.upf
Tm 168.93 Tm.upf
CELL_PARAMETERS angstrom
-4.648 4.648 7.263
4.648 -4.648 7.263
4.648 4.648 -7.263
ATOMIC_POSITIONS angstrom
Pr 0.000 0.000 0.000
Pr 6.509 1.861 -1.924
Pr 1.861 2.786 -1.924
Pr 6.509 1.861 1.924
Pr 1.861 2.786 1.924
Pr 0.000 0.000 7.263
Pr 2.786 1.861 5.340
Pr -1.861 2.786 5.340
Pr 2.786 1.861 9.187
Pr -1.861 2.786 9.187
Sm 4.648 0.000 3.632
Sm 0.000 4.648 3.632
Tm 3.624 1.023 0.000
Tm 0.000 0.000 3.632
Tm 3.624 -1.023 7.263
Tm 1.023 5.671 0.000
Tm 0.000 0.000 10.895
Tm 1.023 3.624 7.263
! Theoretical density (g/cm³): 7.2
! M_tot (μB per formula unit): 0.00
! Space group: I4/mcm
! DOS(E_F) (states/eV/cell): 27.54

--- x ---
! Pr5SmTm3 | Alexandria | GGA-PBE | relaxed; values from VASP
&SYSTEM
  ibrav = 0, nat = 18, ntyp = 3
/
ATOMIC_SPECIES
Pr 140.91 Pr.upf
Sm 150.36 Sm.upf
Tm 168.93 Tm.upf
CELL_PARAMETERS angstrom
10.131 -3.161 0.000
10.131 3.161 0.000
-6.243 0.000 9.875
ATOMIC_POSITIONS angstrom
Pr 5.157 2.036 3.353
Pr 5.448 2.534 7.406
Pr 2.328 1.139 6.589
Pr 11.983 2.036 1.585
Pr 8.568 1.139 8.223
Pr 5.450 -1.139 1.652
Pr 2.035 -2.036 8.290
Pr 11.690 -1.139 3.286
Pr 8.570 -2.534 2.469
Pr 8.862 -2.036 6.522
Sm 8.570 0.723 2.469
Sm 5.448 -0.723 7.406
Tm 0.494 1.426 9.617
Tm 10.403 1.426 5.195
Tm 10.131 0.000 0.000
Tm 7.009 0.000 4.937
Tm 3.616 -1.426 4.680
Tm 13.524 -1.426 0.258
! Theoretical density (g/cm³): 7.1
! M_tot (μB per formula unit): 0.00
! Space group: C2/c
! DOS(E_F) (states/eV/cell): 26.43

It is w that is the least stable of them.

--- w ---
! PrSm5Tm3 | Alexandria | GGA-PBE | relaxed; values from VASP
&SYSTEM
  ibrav = 0, nat = 18, ntyp = 3
/
ATOMIC_SPECIES
Pr 140.91 Pr.upf
Sm 150.36 Sm.upf
Tm 168.93 Tm.upf
CELL_PARAMETERS angstrom
8.194 -3.369 0.000
8.194 3.369 0.000
-3.937 0.000 10.854
ATOMIC_POSITIONS angstrom
Pr 5.242 1.735 8.140
Pr 7.210 -1.735 2.713
Sm -0.523 0.605 9.195
Sm 1.446 -0.605 3.768
Sm 7.210 1.270 2.713
Sm 2.632 0.038 10.287
Sm 4.600 -0.038 4.861
Sm 7.852 0.038 5.993
Sm 9.820 -0.038 0.566
Sm 5.242 -1.270 8.140
Sm 11.006 0.605 7.086
Sm 12.975 -0.605 1.659
Tm 0.000 0.000 0.000
Tm -1.969 0.000 5.427
Tm 1.790 0.668 6.806
Tm 3.759 -0.668 1.379
Tm 8.693 0.668 9.475
Tm 10.662 -0.668 4.048
! Theoretical density (g/cm³): 7.8
! M_tot (μB per formula unit): 0.00
! Space group: C2/c
! DOS(E_F) (states/eV/cell): 26.37

--- x ---
! PrSm5Tm3 | Alexandria | GGA-PBE | relaxed; values from VASP
&SYSTEM
  ibrav = 0, nat = 18, ntyp = 3
/
ATOMIC_SPECIES
Pr 140.91 Pr.upf
Sm 150.36 Sm.upf
Tm 168.93 Tm.upf
CELL_PARAMETERS angstrom
8.502 -4.066 0.000
8.502 4.066 0.000
-8.096 0.000 9.279
ATOMIC_POSITIONS angstrom
Pr 2.936 0.000 1.257
Pr 5.973 0.000 8.022
Sm -2.399 0.000 5.314
Sm 5.617 2.403 2.079
Sm 3.292 2.403 7.200
Sm -2.421 0.000 8.680
Sm 8.502 1.465 0.000
Sm 8.502 -1.465 0.000
Sm 11.329 0.000 0.599
Sm 5.617 -2.403 2.079
Sm 3.292 -2.403 7.200
Sm 11.308 0.000 3.965
Tm 0.000 0.000 0.000
Tm 0.146 0.000 3.142
Tm 1.016 0.000 6.318
Tm 4.454 0.000 4.640
Tm 7.893 0.000 2.961
Tm 8.763 0.000 6.137
! Theoretical density (g/cm³): 7.2
! M_tot (μB per formula unit): 0.00
! Space group: C2/m
! DOS(E_F) (states/eV/cell): 26.20

It is x that is the least stable of them.